## BiSbAuI2 (PBE)

Data for BiSbAuI2 after structural relaxation.

```
BiSbAuI2
1.0
5.511 0.000 0.000
0.000 5.511 0.000
0.000 0.000 5.629
Bi Sb Au I
1 1 1 2
Direct
0.000 0.000 0.000 Bi
0.500 0.500 0.000 Sb
0.500 0.500 0.500 Au
0.000 0.500 0.500 I
0.500 0.000 0.500 I
```

Calculated values
- total magnetic moment (μB/atom) = 0.000
- Fermi-level density of states (states/eV/atom) = 0.8503
- formation energy from raw total energies (meV/atom) = 415.7
- SG = P4/mmm, No. 123
- density (g/cm3) = 7.591
- volume (Å³/atom) = 34.2

## Ga2TeN (PBE)

Data for Ga2TeN after structural relaxation.

```
Ga2TeN
1.0
6.685 0.000 0.000
0.000 6.685 0.000
0.000 0.000 6.685
Ga Te N
8 4 4
Direct
0.250 0.250 0.250 Ga
0.250 0.250 0.750 Ga
0.250 0.750 0.250 Ga
0.250 0.750 0.750 Ga
0.750 0.250 0.250 Ga
0.750 0.250 0.750 Ga
0.750 0.750 0.250 Ga
0.750 0.750 0.750 Ga
0.000 0.000 0.000 Te
0.000 0.500 0.500 Te
0.500 0.000 0.500 Te
0.500 0.500 0.000 Te
0.000 0.000 0.500 N
0.000 0.500 0.000 N
0.500 0.000 0.000 N
0.500 0.500 0.500 N
```

Calculated values
- total magnetic moment (μB/atom) = 0.280
- Fermi-level density of states (states/eV/atom) = 0.3525
- formation energy from raw total energies (meV/atom) = 989.3
- SG = Fm-3m, No. 225
- density (g/cm3) = 6.249
- volume (Å³/atom) = 18.7

## Eu (PBE)

Data for Eu after structural relaxation.

```
Eu
1.0
4.406 0.000 0.000
0.000 4.406 0.000
0.000 0.000 4.406
Eu
2
Direct
0.000 0.000 0.000 Eu
0.500 0.500 0.500 Eu
```

Calculated values
- total magnetic moment (μB/atom) = 7.307
- energy relative to the elements (eV per atom) = 0.035
- Fermi-level density of states (states/eV/atom) = 1.0361
- SG = Im-3m, No. 229
- density (g/cm3) = 5.899
- volume (Å³/atom) = 42.8

## Pm3Zn4Au2 (PBE)

Data for Pm3Zn4Au2 after structural relaxation.

```
Pm3Zn4Au2
1.0
5.383 -2.291 0.000
5.383 2.291 0.000
-3.590 0.000 7.990
Pm Zn Au
3 4 2
Direct
0.000 0.000 0.000 Pm
0.330 0.330 0.336 Pm
0.670 0.670 0.664 Pm
0.044 0.044 0.383 Zn
0.273 0.273 0.944 Zn
0.727 0.727 0.056 Zn
0.956 0.956 0.617 Zn
0.392 0.392 0.726 Au
0.608 0.608 0.274 Au
```

Calculated values
- total magnetic moment (μB/atom) = 0.000
- energy relative to the elements (eV per atom) = -0.548
- Fermi-level density of states (states/eV/atom) = 0.6822
- SG = C2/m, No. 12
- density (g/cm3) = 9.190
- volume (Å³/atom) = 21.9

## KHoCd (PBE)

Data for KHoCd after structural relaxation.

```
KHoCd
1.0
17.904 0.000 0.000
0.000 3.708 0.000
0.000 0.000 6.390
K Ho Cd
4 4 4
Direct
0.167 0.000 0.000 K
0.167 0.500 0.500 K
0.833 0.000 0.000 K
0.833 0.500 0.500 K
0.367 0.000 0.651 Ho
0.367 0.500 0.151 Ho
0.633 0.000 0.651 Ho
0.633 0.500 0.151 Ho
0.000 0.000 0.666 Cd
0.000 0.500 0.166 Cd
0.500 0.000 0.985 Cd
0.500 0.500 0.485 Cd
```

Calculated values
- total magnetic moment (μB/atom) = 0.000
- energy relative to the elements (eV per atom) = 0.186
- Fermi-level density of states (states/eV/atom) = 0.9467
- SG = Amm2, No. 38
- density (g/cm3) = 4.955
- volume (Å³/atom) = 35.3

## CoSeBr3 (PBE)

Data for CoSeBr3 after structural relaxation.

```
CoSeBr3
1.0
4.930 0.000 0.000
0.000 4.930 0.000
0.000 0.000 4.930
Co Se Br
1 1 3
Direct
0.000 0.000 0.000 Co
0.500 0.500 0.500 Se
0.000 0.000 0.500 Br
0.000 0.500 0.000 Br
0.500 0.000 0.000 Br
```

Calculated values
- total magnetic moment (μB/atom) = 0.020
- Fermi-level density of states (states/eV/atom) = 1.4963
- formation energy from raw total energies (meV/atom) = 348.2
- SG = Pm-3m, No. 221
- density (g/cm3) = 5.231
- volume (Å³/atom) = 24.0